! HfTiW | Alexandria via LeMat-Bulk | PBE | optimized geometry; values from VASP
&SYSTEM
  ibrav = 0, nat = 6, ntyp = 3
/
ATOMIC_SPECIES
Hf 178.49 Hf.upf
Ti 47.87 Ti.upf
W 183.84 W.upf
CELL_PARAMETERS angstrom
-4.629 -2.010 -1.060
3.810 -3.472 -0.112
-0.270 1.846 5.249
ATOMIC_POSITIONS crystal
Hf 0.678 0.322 0.000
Hf 0.322 0.678 0.000
Ti 0.835 0.835 0.670
Ti 0.165 0.165 0.330
W 0.750 0.250 0.500
W 0.250 0.750 0.500
! DOS at the Fermi energy: 7.1 states/eV per cell
! ΔH_f (0 K): 0.24 eV per atom
! symmetry: Fmmm, No. 69